## P
The following is a DFT calculation (PBE-GGA) of crystalline Ce8HgOs2 at its relaxed geometry.

Properties
**Space group**: C2/m, No. 12
**Magnetization**: 3.07 μB/f.u.

Cell lengths 5.454, 8.366, 7.773 Å; angles 57.44, 81.75, 74.54 degrees
Last column: magnetic moment on the atom in μB.
Positions (direct):
Hg1 0.500 0.000 0.000  0.00
Ce1 0.062 0.904 0.782  0.33
Ce2 0.314 0.419 0.000  0.27
Ce3 0.938 0.314 0.782  0.33
Ce4 0.062 0.686 0.218  0.33
Ce5 0.500 0.750 0.500  0.35
Ce6 0.686 0.581 0.000  0.27
Ce7 0.938 0.096 0.218  0.33
Ce8 0.500 0.250 0.500  0.35
Os1 0.000 0.291 0.418  -0.05
Os2 0.000 0.709 0.582  -0.05

=====

## Q
The following is a DFT calculation (PBE-GGA) of crystalline Ce8HgOs2 at its relaxed geometry.

Properties
**Space group**: C2, No. 5
**Magnetization**: 0.93 μB/f.u.

Cell lengths 5.336, 6.482, 9.072 Å; angles 110.92, 105.44, 89.99 degrees
Last column: magnetic moment on the atom in μB.
Positions (direct):
Hg1 0.136 0.009 0.909  0.00
Ce1 0.552 0.727 0.733  -0.01
Ce2 0.342 0.848 0.357  0.05
Ce3 0.636 0.307 0.909  0.15
Ce4 0.136 0.516 0.909  0.49
Ce5 0.931 0.400 0.461  0.05
Ce6 0.972 0.014 0.540  0.06
Ce7 0.720 0.903 0.085  -0.01
Ce8 0.301 0.383 0.278  0.06
Os1 0.772 0.605 0.226  -0.01
Os2 0.500 0.288 0.592  -0.01

=====

Pick the least stable structure from those above. Pick: P